# 1
{
  "formula": "ErPaGaPt",
  "functional": "GGA-PBE",
  "state": "relaxed",
  "lattice": [[7.0692, 0.0000, 0.0000], [0.0000, 7.0692, 0.0000], [0.0000, 0.0000, 7.0692]],
  "species": ["Er", "Er", "Er", "Er", "Pa", "Pa", "Pa", "Pa", "Ga", "Ga", "Ga", "Ga", "Pt", "Pt", "Pt", "Pt"],
  "frac_coords": [[0.0000, 0.0000, 0.0000], [0.0000, 0.5000, 0.5000], [0.5000, 0.0000, 0.5000], [0.5000, 0.5000, 0.0000], [0.0000, 0.0000, 0.5000], [0.0000, 0.5000, 0.0000], [0.5000, 0.0000, 0.0000], [0.5000, 0.5000, 0.5000], [0.2500, 0.2500, 0.7500], [0.2500, 0.7500, 0.2500], [0.7500, 0.2500, 0.2500], [0.7500, 0.7500, 0.7500], [0.2500, 0.2500, 0.2500], [0.2500, 0.7500, 0.7500], [0.7500, 0.2500, 0.7500], [0.7500, 0.7500, 0.2500]],
  "delta_e_f_mev_per_atom": -568
}

# 2
{
  "formula": "BaCa2W",
  "functional": "GGA-PBE",
  "state": "relaxed",
  "lattice": [[3.4136, 0.0000, 0.0000], [-1.7068, 2.9563, 0.0000], [0.0000, 0.0000, 36.5837]],
  "species": ["Ba", "Ba", "Ba", "Ca", "Ca", "Ca", "Ca", "Ca", "Ca", "W", "W", "W"],
  "frac_coords": [[0.0000, 0.0000, 0.0000], [0.3333, 0.6667, 0.6667], [0.6667, 0.3333, 0.3333], [0.0000, 0.0000, 0.2327], [0.0000, 0.0000, 0.7673], [0.3333, 0.6667, 0.4339], [0.3333, 0.6667, 0.8994], [0.6667, 0.3333, 0.1006], [0.6667, 0.3333, 0.5661], [0.0000, 0.0000, 0.5000], [0.3333, 0.6667, 0.1667], [0.6667, 0.3333, 0.8333]],
  "delta_e_f_mev_per_atom": 949
}

# 3
{
  "formula": "NbV3Sn",
  "functional": "GGA-PBE",
  "state": "relaxed",
  "lattice": [[4.6257, 0.0000, 0.0000], [0.0000, 4.6257, 0.0000], [0.0000, 0.0000, 4.6257]],
  "species": ["Nb", "V", "V", "V", "Sn"],
  "frac_coords": [[0.0000, 0.0000, 0.0000], [0.0000, 0.0000, 0.5000], [0.0000, 0.5000, 0.0000], [0.5000, 0.0000, 0.0000], [0.5000, 0.5000, 0.5000]],
  "delta_e_f_mev_per_atom": 1200
}

# 4
{
  "formula": "YAuIN2",
  "functional": "GGA-PBE",
  "state": "relaxed",
  "lattice": [[4.4188, 0.0000, 0.0000], [0.0000, 4.4188, 0.0000], [0.0000, 0.0000, 6.5695]],
  "species": ["Y", "Au", "I", "N", "N"],
  "frac_coords": [[0.0000, 0.0000, 0.0000], [0.5000, 0.5000, 0.5000], [0.0000, 0.0000, 0.5000], [0.0000, 0.5000, 0.0000], [0.5000, 0.0000, 0.0000]],
  "raw_formation_energy_mev_per_atom": 820.3
}

# 5
{
  "formula": "In2RuRh",
  "functional": "GGA-PBE",
  "state": "relaxed",
  "lattice": [[3.0158, 0.0000, 0.0000], [0.0000, 4.1057, 0.0000], [0.0000, 0.0000, 5.6997]],
  "species": ["In", "In", "Ru", "Rh"],
  "frac_coords": [[0.0000, 0.0000, 0.0000], [0.5000, 0.5000, 0.3285], [0.5000, 0.5000, 0.8117], [0.0000, 0.0000, 0.5207]],
  "delta_e_f_mev_per_atom": 85
}

# 6
{
  "formula": "CeNd6Y2Er",
  "functional": "GGA-PBE",
  "state": "relaxed",
  "lattice": [[5.6776, -3.5492, 0.0000], [5.6776, 3.5492, 0.0000], [-2.1374, 0.0000, 8.6018]],
  "species": ["Ce", "Nd", "Nd", "Nd", "Nd", "Nd", "Nd", "Y", "Y", "Er"],
  "frac_coords": [[0.0000, 0.0000, 0.0000], [0.0967, 0.5627, 0.2040], [0.1266, 0.1266, 0.4180], [0.4373, 0.9033, 0.7960], [0.5627, 0.0967, 0.2040], [0.8734, 0.8734, 0.5820], [0.9033, 0.4373, 0.7960], [0.4067, 0.4067, 0.8336], [0.5933, 0.5933, 0.1664], [0.5000, 0.5000, 0.5000]],
  "delta_e_f_mev_per_atom": 237
}

These records have uncorrected energy values of -6.35; -3.77; -7.09; -4.77; -5.44; -4.97 eV per atom, in the order they appear.